# 1
The following is a meta-GGA SCAN calculation of ScWBr at its PBEsol-relaxed geometry, from the Alexandria database.

## Properties
raw formation energy = 1.18 eV/f.u.
calculated total energy = -34.07 eV per atom
magnetic moment = 0.000 μB per atom
offset from the most stable computed form = 0.0361 eV per atom
calculated density = 8.1 g/cm3

The structure in CIF format:
```
data_ScWBr
_chemical_formula_sum 'Sc2 W2 Br2'
_cell_length_a 2.968
_cell_length_b 2.968
_cell_length_c 14.402
_cell_angle_alpha 90.00
_cell_angle_beta 90.00
_cell_angle_gamma 90.00
_space_group_name_H-M_alt 'I 4 m m'
_space_group_IT_number 107
_space_group_name_Hall 'I 4 -2'
loop_
_atom_site_label
_atom_site_fract_x
_atom_site_fract_y
_atom_site_fract_z
_atom_site_occupancy
Sc1 0.000 0.000 0.000 1
W1 0.000 0.000 0.641 1
Br1 0.000 0.000 0.372 1
```

# 2
The following is a meta-GGA SCAN calculation of Sm3Mg2TiS8 at its PBEsol-relaxed geometry, from the Alexandria database.

## Properties
raw formation energy = -27.20 eV/f.u.
calculated total energy = -18.82 eV per atom
magnetic moment = 0.071 μB per atom
calculated density = 4.0 g/cm3

The structure in CIF format:
```
data_Sm3Mg2TiS8
_chemical_formula_sum 'Sm9 Mg6 Ti3 S24'
_cell_length_a 7.8355
_cell_length_b 7.8355
_cell_length_c 18.7090
_cell_angle_alpha 90.00
_cell_angle_beta 90.00
_cell_angle_gamma 120.00
_space_group_name_H-M_alt 'R -3 m'
_space_group_IT_number 166
_space_group_name_Hall '-R 3 2"'
loop_
_atom_site_label
_atom_site_fract_x
_atom_site_fract_y
_atom_site_fract_z
_atom_site_occupancy
Sm1 0.0000 0.5000 0.0000 1
Mg1 0.0000 0.0000 0.1239 1
Ti1 0.0000 0.0000 0.5000 1
S1 0.0000 0.0000 0.2528 1
S2 0.0244 0.5122 0.2425 1
```

# 3
The following is a meta-GGA SCAN calculation of Li2BeCuTc at its PBEsol-relaxed geometry, from the Alexandria database.

## Properties
calculated total energy = -11.11 eV per atom
magnetic moment = 0.117 μB per atom
E_form = 0.764 eV per atom
calculated density = 4.6 g/cm3

The structure in CIF format:
```
data_Li2BeCuTc
_chemical_formula_sum 'Li2 Be1 Cu1 Tc1'
_cell_length_a 3.973
_cell_length_b 3.973
_cell_length_c 4.177
_cell_angle_alpha 90.00
_cell_angle_beta 90.00
_cell_angle_gamma 90.00
_space_group_name_H-M_alt 'P 4/m m m'
_space_group_IT_number 123
_space_group_name_Hall '-P 4 2'
loop_
_atom_site_label
_atom_site_fract_x
_atom_site_fract_y
_atom_site_fract_z
_atom_site_occupancy
Li1 0.000 0.500 0.000 1
Be1 0.000 0.000 0.000 1
Cu1 0.500 0.500 0.500 1
Tc1 0.000 0.000 0.500 1
```

# 4
The following is a meta-GGA SCAN calculation of CoMoIr2 at its PBEsol-relaxed geometry, from the Alexandria database.

## Properties
calculated total energy = -48.76 eV per atom
magnetic moment = 0.004 μB per atom
offset from the most stable computed form = 0.0980 eV per atom
E_form = -0.163 eV per atom
calculated density = 16.8 g/cm3

The structure in CIF format:
```
data_CoMoIr2
_chemical_formula_sum 'Co1 Mo1 Ir2'
_cell_length_a 3.783
_cell_length_b 3.783
_cell_length_c 3.718
_cell_angle_alpha 90.00
_cell_angle_beta 90.00
_cell_angle_gamma 90.00
_space_group_name_H-M_alt 'P 4/m m m'
_space_group_IT_number 123
_space_group_name_Hall '-P 4 2'
loop_
_atom_site_label
_atom_site_fract_x
_atom_site_fract_y
_atom_site_fract_z
_atom_site_occupancy
Co1 0.000 0.000 0.000 1
Mo1 0.500 0.500 0.000 1
Ir1 0.000 0.500 0.500 1
```

# 5
The following is a meta-GGA SCAN calculation of TcIr2S at its PBEsol-relaxed geometry, from the Alexandria database.

## Properties
raw formation energy = 3.28 eV/f.u.
calculated total energy = -45.90 eV per atom
magnetic moment = 0.857 μB per atom
calculated density = 14.9 g/cm3

The structure in CIF format:
```
data_TcIr2S
_chemical_formula_sum 'Tc4 Ir8 S4'
_cell_length_a 6.117
_cell_length_b 6.117
_cell_length_c 6.117
_cell_angle_alpha 90.00
_cell_angle_beta 90.00
_cell_angle_gamma 90.00
_space_group_name_H-M_alt 'F m -3 m'
_space_group_IT_number 225
_space_group_name_Hall '-F 4 2 3'
loop_
_atom_site_label
_atom_site_fract_x
_atom_site_fract_y
_atom_site_fract_z
_atom_site_occupancy
Tc1 0.000 0.000 0.000 1
Ir1 0.250 0.250 0.250 1
S1 0.000 0.000 0.500 1
```

# 6
The following is a meta-GGA SCAN calculation of TlHRh3 at its PBEsol-relaxed geometry, from the Alexandria database.

## Properties
calculated total energy = -35.36 eV per atom
magnetic moment = 0.000 μB per atom
offset from the most stable computed form = 0.0000 eV per atom
calculated density = 13.6 g/cm3

The structure in CIF format:
```
data_TlHRh3
_chemical_formula_sum 'Tl1 H1 Rh3'
_cell_length_a 3.978
_cell_length_b 3.978
_cell_length_c 3.978
_cell_angle_alpha 90.00
_cell_angle_beta 90.00
_cell_angle_gamma 90.00
_space_group_name_H-M_alt 'P m -3 m'
_space_group_IT_number 221
_space_group_name_Hall '-P 4 2 3'
loop_
_atom_site_label
_atom_site_fract_x
_atom_site_fract_y
_atom_site_fract_z
_atom_site_occupancy
Tl1 0.000 0.000 0.000 1
H1 0.500 0.500 0.500 1
Rh1 0.000 0.500 0.500 1
```

# 7
The following is a meta-GGA SCAN calculation of Li2CaMn at its PBEsol-relaxed geometry, from the Alexandria database.

## Properties
calculated total energy = -7.85 eV per atom
magnetic moment = 1.179 μB per atom
offset from the most stable computed form = 0.1764 eV per atom
E_form = 0.325 eV per atom
calculated density = 2.0 g/cm3

The structure in CIF format:
```
data_Li2CaMn
_chemical_formula_sum 'Li6 Ca3 Mn3'
_cell_length_a 3.2138
_cell_length_b 3.2138
_cell_length_c 30.4142
_cell_angle_alpha 90.00
_cell_angle_beta 90.00
_cell_angle_gamma 120.00
_space_group_name_H-M_alt 'R -3 m'
_space_group_IT_number 166
_space_group_name_Hall '-R 3 2"'
loop_
_atom_site_label
_atom_site_fract_x
_atom_site_fract_y
_atom_site_fract_z
_atom_site_occupancy
Li1 0.0000 0.0000 0.2385 1
Ca1 0.0000 0.0000 0.0000 1
Mn1 0.0000 0.0000 0.5000 1
```

# 8
The following is a meta-GGA SCAN calculation of BeAl2Tl at its PBEsol-relaxed geometry, from the Alexandria database.

## Properties
calculated total energy = -22.71 eV per atom
magnetic moment = 0.000 μB per atom
offset from the most stable computed form = 0.0000 eV per atom
E_form = 0.348 eV per atom
calculated density = 6.3 g/cm3

The structure in CIF format:
```
data_BeAl2Tl
_chemical_formula_sum 'Be1 Al2 Tl1'
_cell_length_a 2.956
_cell_length_b 2.956
_cell_length_c 8.077
_cell_angle_alpha 90.00
_cell_angle_beta 90.00
_cell_angle_gamma 90.00
_space_group_name_H-M_alt 'P 4/m m m'
_space_group_IT_number 123
_space_group_name_Hall '-P 4 2'
loop_
_atom_site_label
_atom_site_fract_x
_atom_site_fract_y
_atom_site_fract_z
_atom_site_occupancy
Be1 0.000 0.000 0.000 1
Al1 0.500 0.500 0.183 1
Tl1 0.000 0.000 0.500 1
```

# 9
The following is a meta-GGA SCAN calculation of ZnC2N2 at its PBEsol-relaxed geometry, from the Alexandria database.

## Properties
raw formation energy = 8.85 eV/f.u.
calculated total energy = -8.69 eV per atom
magnetic moment = 0.000 μB per atom
calculated density = 4.1 g/cm3

The structure in CIF format:
```
data_ZnC2N2
_chemical_formula_sum 'Zn2 C4 N4'
_cell_length_a 3.062
_cell_length_b 3.062
_cell_length_c 10.208
_cell_angle_alpha 90.00
_cell_angle_beta 90.00
_cell_angle_gamma 90.00
_space_group_name_H-M_alt 'I 4/m m m'
_space_group_IT_number 139
_space_group_name_Hall '-I 4 2'
loop_
_atom_site_label
_atom_site_fract_x
_atom_site_fract_y
_atom_site_fract_z
_atom_site_occupancy
Zn1 0.000 0.000 0.000 1
C1 0.000 0.000 0.195 1
N1 0.000 0.500 0.250 1
```

# 10
The following is a meta-GGA SCAN calculation of K2MgCdGe at its PBEsol-relaxed geometry, from the Alexandria database.

## Properties
calculated total energy = -13.63 eV per atom
magnetic moment = 0.331 μB per atom
E_form = 0.594 eV per atom
calculated density = 2.3 g/cm3

The structure in CIF format:
```
data_K2MgCdGe
_chemical_formula_sum 'K2 Mg1 Cd1 Ge1'
_cell_length_a 6.327
_cell_length_b 6.327
_cell_length_c 5.201
_cell_angle_alpha 90.00
_cell_angle_beta 90.00
_cell_angle_gamma 90.00
_space_group_name_H-M_alt 'P 4/m m m'
_space_group_IT_number 123
_space_group_name_Hall '-P 4 2'
loop_
_atom_site_label
_atom_site_fract_x
_atom_site_fract_y
_atom_site_fract_z
_atom_site_occupancy
K1 0.000 0.500 0.000 1
Mg1 0.000 0.000 0.000 1
Cd1 0.000 0.000 0.500 1
Ge1 0.500 0.500 0.500 1
```

# 11
The following is a meta-GGA SCAN calculation of P5Pt at its PBEsol-relaxed geometry, from the Alexandria database.

## Properties
calculated total energy = -20.40 eV per atom
magnetic moment = 0.000 μB per atom
E_form = -0.037 eV per atom
calculated density = 6.7 g/cm3

The structure in CIF format:
```
data_P5Pt
_chemical_formula_sum 'P10 Pt2'
_cell_length_a 3.506
_cell_length_b 10.392
_cell_length_c 4.796
_cell_angle_alpha 90.00
_cell_angle_beta 90.00
_cell_angle_gamma 90.00
_space_group_name_H-M_alt 'C m m m'
_space_group_IT_number 65
_space_group_name_Hall '-C 2 2'
loop_
_atom_site_label
_atom_site_fract_x
_atom_site_fract_y
_atom_site_fract_z
_atom_site_occupancy
P1 0.000 0.000 0.000 1
P2 0.000 0.326 0.000 1
P3 0.000 0.338 0.500 1
Pt1 0.000 0.000 0.500 1
```

# 12
The following is a meta-GGA SCAN calculation of La2Fe2Se2O3 at its PBEsol-relaxed geometry, from the Alexandria database.

## Properties
raw formation energy = -20.70 eV/f.u.
calculated total energy = -22.45 eV per atom
magnetic moment = 0.889 μB per atom
calculated density = 6.7 g/cm3

The structure in CIF format:
```
data_La2Fe2Se2O3
_chemical_formula_sum 'La4 Fe4 Se4 O6'
_cell_length_a 4.012
_cell_length_b 4.012
_cell_length_c 18.469
_cell_angle_alpha 90.00
_cell_angle_beta 90.00
_cell_angle_gamma 90.00
_space_group_name_H-M_alt 'I 4/m m m'
_space_group_IT_number 139
_space_group_name_Hall '-I 4 2'
loop_
_atom_site_label
_atom_site_fract_x
_atom_site_fract_y
_atom_site_fract_z
_atom_site_occupancy
La1 0.000 0.000 0.183 1
Fe1 0.000 0.500 0.000 1
Se1 0.000 0.000 0.405 1
O1 0.000 0.000 0.000 1
O2 0.000 0.500 0.250 1
```